1.
A plane-wave DFT calculation with PBE-GGA was carried out for a relaxed PaInRuRh crystal.

Calculated values
Energy of formation: -0.47 eV/atom
Raw total energy: -122.9 eV per cell
Volume: 18.976 Å³/atom

Cell: 6.7211 6.7211 6.7211 Å, 90.00 90.00 90.00°
Closest atoms and distances in Å follow each position.
Positions (direct):
1 Pa 0.0000 0.0000 0.0000  4 Ru 2.91, 4 Rh 2.91
2 Pa 0.0000 0.5000 0.5000  4 Ru 2.91, 4 Rh 2.91
3 Pa 0.5000 0.0000 0.5000  4 Ru 2.91, 4 Rh 2.91
4 Pa 0.5000 0.5000 0.0000  4 Ru 2.91, 4 Rh 2.91
5 In 0.0000 0.0000 0.5000  4 Rh 2.91, 4 Ru 2.91
6 In 0.0000 0.5000 0.0000  4 Rh 2.91, 4 Ru 2.91
7 In 0.5000 0.0000 0.0000  4 Rh 2.91, 4 Ru 2.91
8 In 0.5000 0.5000 0.5000  4 Rh 2.91, 4 Ru 2.91
9 Ru 0.2500 0.2500 0.2500  4 In 2.91, 4 Pa 2.91
10 Ru 0.2500 0.7500 0.7500  4 In 2.91, 4 Pa 2.91
11 Ru 0.7500 0.2500 0.7500  4 In 2.91, 4 Pa 2.91
12 Ru 0.7500 0.7500 0.2500  4 In 2.91, 4 Pa 2.91
13 Rh 0.2500 0.2500 0.7500  4 In 2.91, 4 Pa 2.91
14 Rh 0.2500 0.7500 0.2500  4 In 2.91, 4 Pa 2.91
15 Rh 0.7500 0.2500 0.2500  4 In 2.91, 4 Pa 2.91
16 Rh 0.7500 0.7500 0.7500  4 In 2.91, 4 Pa 2.91

2.
A plane-wave DFT calculation with PBE-GGA was carried out for a relaxed TmAl6Zn crystal.

Calculated values
Energy of formation: -0.11 eV/atom
Raw total energy: -58.1 eV per cell
Volume: 18.095 Å³/atom

Cell: 6.5433 9.8421 4.4957 Å, 90.00 90.00 90.00°
Closest atoms and distances in Å follow each position.
Positions (direct):
1 Tm 0.0000 0.0000 0.0000  12 Al 2.95-3.10, 2 Zn 3.27
2 Tm 0.5000 0.5000 0.0000  12 Al 2.95-3.10, 2 Zn 3.27
3 Al 0.0000 0.2172 0.5000  8 Al 2.80-3.08, 2 Tm 3.10
4 Al 0.0000 0.7828 0.5000  8 Al 2.80-3.08, 2 Tm 3.10
5 Al 0.2018 0.5000 0.5000  2 Zn 2.61, 3 Al 2.64-2.89
6 Al 0.2500 0.2500 0.0000  4 Al 2.80, 2 Tm 2.95, 2 Zn 2.95
7 Al 0.2500 0.7500 0.0000  4 Al 2.80, 2 Tm 2.95, 2 Zn 2.95
8 Al 0.2982 0.0000 0.5000  2 Zn 2.61, 3 Al 2.64-2.89
9 Al 0.5000 0.2828 0.5000  8 Al 2.80-3.08, 2 Tm 3.10
10 Al 0.5000 0.7172 0.5000  8 Al 2.80-3.08, 2 Tm 3.10
11 Al 0.7018 0.0000 0.5000  2 Zn 2.61, 3 Al 2.64-2.89
12 Al 0.7500 0.2500 0.0000  4 Al 2.80, 2 Tm 2.95, 2 Zn 2.95
13 Al 0.7500 0.7500 0.0000  4 Al 2.80, 2 Tm 2.95, 2 Zn 2.95
14 Al 0.7982 0.5000 0.5000  2 Zn 2.61, 3 Al 2.64-2.89
15 Zn 0.0000 0.5000 0.0000  4 Al 2.61
16 Zn 0.5000 0.0000 0.0000  4 Al 2.61

3.
A plane-wave DFT calculation with PBE-GGA was carried out for a relaxed Pm2HfSn crystal.

Calculated values
Energy of formation: -0.18 eV/atom
Raw total energy: -24.2 eV per cell
Volume: 28.018 Å³/atom

Cell: 3.3876 3.3876 9.7661 Å, 90.00 90.00 90.00°
Closest atoms and distances in Å follow each position.
Positions (direct):
1 Pm 0.0000 0.0000 0.2482  4 Pm 3.39, 4 Sn 3.41, 4 Hf 3.43
2 Pm 0.0000 0.0000 0.7518  4 Pm 3.39, 4 Sn 3.41, 4 Hf 3.43
3 Hf 0.5000 0.5000 0.5000  4 Hf 3.39, 8 Pm 3.43
4 Sn 0.5000 0.5000 0.0000  4 Sn 3.39, 8 Pm 3.41

4.
A plane-wave DFT calculation with PBE-GGA was carried out for a relaxed Pr6Zn5Cu crystal.

Calculated values
Energy of formation: -0.27 eV/atom
Raw total energy: -42.4 eV per cell
Volume: 25.353 Å³/atom

Cell: 5.2259 7.4225 8.2676 Å, 90.00 108.44 90.00°
Closest atoms and distances in Å follow each position.
Positions (direct):
1 Pr 0.0000 0.2476 0.0000  2 Cu 3.19, 6 Zn 3.22-3.25
2 Pr 0.0000 0.7524 0.0000  2 Cu 3.19, 6 Zn 3.22-3.25
3 Pr 0.3360 0.2500 0.6704  7 Zn 3.18-3.21, 1 Cu 3.18
4 Pr 0.3360 0.7500 0.6704  7 Zn 3.18-3.21, 1 Cu 3.18
5 Pr 0.6640 0.2500 0.3296  7 Zn 3.18-3.21, 1 Cu 3.18
6 Pr 0.6640 0.7500 0.3296  7 Zn 3.18-3.21, 1 Cu 3.18
7 Zn 0.1673 0.5000 0.3366  8 Pr 3.20-3.24
8 Zn 0.1695 0.0000 0.3417  8 Pr 3.18-3.25
9 Zn 0.5000 0.5000 0.0000  8 Pr 3.18-3.22
10 Zn 0.8305 0.0000 0.6583  8 Pr 3.18-3.25
11 Zn 0.8327 0.5000 0.6634  8 Pr 3.20-3.24
12 Cu 0.5000 0.0000 0.0000  8 Pr 3.18-3.19

5.
A plane-wave DFT calculation with PBE-GGA was carried out for a relaxed RbMoPt2Rh crystal.

Calculated values
Energy of formation: 1.01 eV/atom
Raw total energy: -26.2 eV per cell
Volume: 24.455 Å³/atom

Cell: 5.1168 5.1168 4.6703 Å, 90.00 90.00 90.00°
Closest atoms and distances in Å follow each position.
Positions (direct):
1 Rb 0.0000 0.0000 0.0000  8 Pt 3.46, 4 Mo 3.62
2 Mo 0.5000 0.5000 0.0000  2 Rh 2.34
3 Pt 0.0000 0.5000 0.5000  2 Rh 2.56
4 Pt 0.5000 0.0000 0.5000  2 Rh 2.56
5 Rh 0.5000 0.5000 0.5000  2 Mo 2.34, 4 Pt 2.56

6.
A plane-wave DFT calculation with PBE-GGA was carried out for a relaxed Ba2HoMg3Sn4 crystal.

Calculated values
Energy of formation: -0.52 eV/atom
Raw total energy: -34.4 eV per cell
Volume: 31.105 Å³/atom

Cell: 5.0500 5.0500 12.1968 Å, 90.00 90.00 90.00°
Closest atoms and distances in Å follow each position.
Positions (direct):
1 Ba 0.0000 0.5000 0.2307  8 Sn 3.78-3.90, 6 Mg 3.80-4.14, 2 Ho 4.14
2 Ba 0.5000 0.0000 0.7693  8 Sn 3.78-3.90, 6 Mg 3.80-4.14, 2 Ho 4.14
3 Ho 0.0000 0.0000 0.5000  4 Sn 3.05
4 Mg 0.0000 0.5000 0.8753  5 Sn 2.87-2.95
5 Mg 0.5000 0.0000 0.1247  5 Sn 2.87-2.95
6 Mg 0.5000 0.5000 0.5000  4 Sn 3.05
7 Sn 0.0000 0.0000 0.0000  4 Mg 2.95
8 Sn 0.0000 0.5000 0.6401  3 Mg 2.87-3.05, 2 Ho 3.05
9 Sn 0.5000 0.0000 0.3599  3 Mg 2.87-3.05, 2 Ho 3.05
10 Sn 0.5000 0.5000 0.0000  4 Mg 2.95

7.
A plane-wave DFT calculation with PBE-GGA was carried out for a relaxed KLiSnAs2 crystal.

Calculated values
Energy of formation: 0.40 eV/atom
Raw total energy: -14.3 eV per cell
Volume: 35.504 Å³/atom

Cell: 5.4266 5.4266 6.0283 Å, 90.00 90.00 90.00°
Closest atoms and distances in Å follow each position.
Positions (direct):
1 K 0.0000 0.0000 0.0000  2 Sn 3.01
2 Li 0.5000 0.5000 0.0000  4 K 3.84, 8 As 4.06
3 Sn 0.0000 0.0000 0.5000  4 As 2.71, 2 K 3.01
4 As 0.0000 0.5000 0.5000  2 Sn 2.71
5 As 0.5000 0.0000 0.5000  2 Sn 2.71

8.
A plane-wave DFT calculation with PBE-GGA was carried out for a relaxed KGaC crystal.

Calculated values
Energy of formation: 0.32 eV/atom
Raw total energy: -49.6 eV per cell
Volume: 19.947 Å³/atom

Cell: 4.1730 21.1383 2.7135 Å, 90.00 90.00 90.00°
Closest atoms and distances in Å follow each position.
Positions (direct):
1 K 0.0000 0.0956 0.2500  2 K 2.71, 2 C 2.99
2 K 0.0000 0.9044 0.7500  2 K 2.71, 2 C 2.99
3 K 0.5000 0.4044 0.7500  2 K 2.71, 2 C 2.99
4 K 0.5000 0.5956 0.2500  2 K 2.71, 2 C 2.99
5 Ga 0.0000 0.2800 0.7500  6 Ga 2.71-2.79
6 Ga 0.0000 0.7200 0.2500  6 Ga 2.71-2.79
7 Ga 0.5000 0.2200 0.2500  6 Ga 2.71-2.79
8 Ga 0.5000 0.7800 0.7500  6 Ga 2.71-2.79
9 C 0.0000 0.4942 0.2500  2 C 1.38
10 C 0.0000 0.5058 0.7500  2 C 1.38
11 C 0.5000 0.0058 0.7500  2 C 1.38
12 C 0.5000 0.9942 0.2500  2 C 1.38

9.
A plane-wave DFT calculation with PBE-GGA was carried out for a relaxed SmDyIn2 crystal.

Calculated values
Energy of formation: -0.32 eV/atom
Raw total energy: -48.2 eV per cell
Volume: 29.474 Å³/atom

Cell: 3.7354 3.7354 29.2694 Å, 90.00 90.00 120.00°
Closest atoms and distances in Å follow each position.
Positions (direct):
1 Sm 0.0000 0.0000 0.0000  6 In 3.29
2 Sm 0.3333 0.6667 0.6667  6 In 3.29
3 Sm 0.6667 0.3333 0.3333  6 In 3.29
4 Dy 0.0000 0.0000 0.5000  6 In 3.23
5 Dy 0.3333 0.6667 0.1667  6 In 3.23
6 Dy 0.6667 0.3333 0.8333  6 In 3.23
7 In 0.0000 0.0000 0.2486  3 Dy 3.23, 3 Sm 3.29
8 In 0.0000 0.0000 0.7514  3 Dy 3.23, 3 Sm 3.29
9 In 0.3333 0.6667 0.4180  3 Dy 3.23, 3 Sm 3.29
10 In 0.3333 0.6667 0.9153  3 Dy 3.23, 3 Sm 3.29
11 In 0.6667 0.3333 0.0847  3 Dy 3.23, 3 Sm 3.29
12 In 0.6667 0.3333 0.5820  3 Dy 3.23, 3 Sm 3.29

10.
A plane-wave DFT calculation with PBE-GGA was carried out for a relaxed CsPrCd10 crystal.

Calculated values
Energy of formation: -0.10 eV/atom
Raw total energy: -16.0 eV per cell
Volume: 27.019 Å³/atom

Cell: 4.8125 6.2818 10.7251 Å, 90.00 90.00 90.00°
Closest atoms and distances in Å follow each position.
Positions (direct):
1 Cs 0.0000 0.0000 0.0000  10 Cd 3.65-3.96
2 Pr 0.0000 0.5000 0.5000  14 Cd 3.49-3.67
3 Cd 0.0000 0.0000 0.3403  6 Cd 2.95-3.01
4 Cd 0.0000 0.0000 0.6597  6 Cd 2.95-3.01
5 Cd 0.0000 0.5000 0.1749  6 Cd 3.02-3.05
6 Cd 0.0000 0.5000 0.8251  6 Cd 3.02-3.05
7 Cd 0.5000 0.0000 0.5000  8 Cd 2.91-2.95
8 Cd 0.5000 0.2696 0.2796  6 Cd 2.90-3.02
9 Cd 0.5000 0.2696 0.7204  6 Cd 2.90-3.02
10 Cd 0.5000 0.5000 0.0000  8 Cd 3.05-3.33
11 Cd 0.5000 0.7304 0.2796  6 Cd 2.90-3.02
12 Cd 0.5000 0.7304 0.7204  6 Cd 2.90-3.02

> raw total energy of number 3 (Pm2HfSn)?

-24.2 eV per cell

> Which value of energy of formation does entry 7 give?

0.40 eV/atom

> Among the records above, which one has the lowest raw total energy?

PaInRuRh

Copy entry 8 word for word.
A plane-wave DFT calculation with PBE-GGA was carried out for a relaxed KGaC crystal.

Calculated values
Energy of formation: 0.32 eV/atom
Raw total energy: -49.6 eV per cell
Volume: 19.947 Å³/atom

Cell: 4.1730 21.1383 2.7135 Å, 90.00 90.00 90.00°
Closest atoms and distances in Å follow each position.
Positions (direct):
1 K 0.0000 0.0956 0.2500  2 K 2.71, 2 C 2.99
2 K 0.0000 0.9044 0.7500  2 K 2.71, 2 C 2.99
3 K 0.5000 0.4044 0.7500  2 K 2.71, 2 C 2.99
4 K 0.5000 0.5956 0.2500  2 K 2.71, 2 C 2.99
5 Ga 0.0000 0.2800 0.7500  6 Ga 2.71-2.79
6 Ga 0.0000 0.7200 0.2500  6 Ga 2.71-2.79
7 Ga 0.5000 0.2200 0.2500  6 Ga 2.71-2.79
8 Ga 0.5000 0.7800 0.7500  6 Ga 2.71-2.79
9 C 0.0000 0.4942 0.2500  2 C 1.38
10 C 0.0000 0.5058 0.7500  2 C 1.38
11 C 0.5000 0.0058 0.7500  2 C 1.38
12 C 0.5000 0.9942 0.2500  2 C 1.38